Here is a relaxed ZrCu4Si crystal from the Alexandria database. Energies are from PBE-GGA.

Values from the calculation:
Energy relative to the elements, uncorrected (eV/atom): -0.006
Electronic total energy (eV/atom): -5.066
DOS at the Fermi energy (states/eV per cell): 29.6

Cell: 6.961 6.961 6.961 Å, 90.00 90.00 90.00°
Space group F-43m (No. 216)
Unique sites:
Zr  0.000  0.000  0.000 (multiplicity 4)
Cu  0.125  0.125  0.625 (multiplicity 16)
Si  0.250  0.250  0.250 (multiplicity 4)